! GGA-PBE Sr2DyBiO5, relaxed; values from VASP
&SYSTEM
  ibrav = 0, nat = 18, ntyp = 4
/
ATOMIC_SPECIES
Sr 87.62 Sr.upf
Dy 162.50 Dy.upf
Bi 208.98 Bi.upf
O 16.00 O.upf
CELL_PARAMETERS angstrom
1.783 -6.986 0.000
1.783 6.986 0.000
0.000 0.000 12.852
ATOMIC_POSITIONS crystal
Sr 0.064 0.936 0.500
Sr 0.166 0.834 0.090
Sr 0.834 0.166 0.590
Sr 0.936 0.064 0.000
Dy 0.255 0.745 0.851
Dy 0.745 0.255 0.351
Bi 0.456 0.544 0.276
Bi 0.544 0.456 0.776
O 0.089 0.911 0.877
O 0.242 0.758 0.479
O 0.265 0.735 0.245
O 0.413 0.587 0.867
O 0.470 0.530 0.610
O 0.530 0.470 0.110
O 0.587 0.413 0.367
O 0.735 0.265 0.745
O 0.758 0.242 0.979
O 0.911 0.089 0.377
! **Magnetization**: 0.00 μB/f.u.
! **Symmetry**: Cmc2_1
! **Crystal system**: orthorhombic
! **ΔE_f (raw)**: -2492 meV per atom